1.
First-principles (GGA-PBE) data for an optimized crystal structure of TaAsOs2, as listed in Alexandria.

Properties
Space-group type ... Pmmm
Crystal system ... orthorhombic
DFT formation energy ... 0.9 eV/f.u.

a = 2.961 Å, b = 4.605 Å, c = 4.555 Å
α = 90.00°, β = 90.00°, γ = 90.00°
Element x y z (fractional)
1 Os 0.500 0.500 0.000
2 Os 0.000 0.000 0.000
3 As 0.000 0.500 0.500
4 Ta 0.500 0.000 0.500

***

2.
First-principles (GGA-PBE) data for an optimized crystal structure of RbHgIrCl6, as listed in Alexandria.

Properties
Uncorrected formation energy ... -0.875 eV/atom
Space-group type ... P312
Crystal system ... trigonal

a = 6.800 Å, b = 6.800 Å, c = 7.114 Å
α = 90.00°, β = 90.00°, γ = 60.00°
Element x y z (fractional)
1 Hg 0.667 0.667 0.500
2 Cl 0.344 0.612 0.310
3 Cl 0.044 0.612 0.690
4 Cl 0.612 0.344 0.690
5 Cl 0.612 0.044 0.310
6 Cl 0.344 0.044 0.690
7 Cl 0.044 0.344 0.310
8 Rb 0.000 0.000 0.000
9 Ir 0.333 0.333 0.500

***

3.
First-principles (GGA-PBE) data for an optimized crystal structure of VS2Cl5, as listed in Alexandria.

Properties
Uncorrected formation energy ... -0.660 eV/atom
Space-group type ... P1
Crystal system ... triclinic

a = 3.657 Å, b = 10.782 Å, c = 7.462 Å
α = 70.86°, β = 61.91°, γ = 91.65°
Last column: magnetic moment on the atom in μB.
Element x y z (fractional)
1 Cl 0.100 0.579 0.996  0.00
2 Cl 0.692 0.916 0.400  -0.06
3 Cl 0.389 0.205 0.702  -0.06
4 Cl 0.604 0.940 0.970  -0.02
5 Cl 0.468 0.186 0.132  -0.02
6 V 0.028 0.063 0.054  1.30
7 S 0.744 0.614 0.284  0.02
8 S 0.197 0.496 0.463  0.02

***

Please write out number 2 again, unchanged.
First-principles (GGA-PBE) data for an optimized crystal structure of RbHgIrCl6, as listed in Alexandria.

Properties
Uncorrected formation energy ... -0.875 eV/atom
Space-group type ... P312
Crystal system ... trigonal

a = 6.800 Å, b = 6.800 Å, c = 7.114 Å
α = 90.00°, β = 90.00°, γ = 60.00°
Element x y z (fractional)
1 Hg 0.667 0.667 0.500
2 Cl 0.344 0.612 0.310
3 Cl 0.044 0.612 0.690
4 Cl 0.612 0.344 0.690
5 Cl 0.612 0.044 0.310
6 Cl 0.344 0.044 0.690
7 Cl 0.044 0.344 0.310
8 Rb 0.000 0.000 0.000
9 Ir 0.333 0.333 0.500